Entry 1:
## NiW2 (GGA-PBE)

Data for an optimized crystal structure of NiW2.

As for the space group: P6_3/mmc, No. 194. The calculated volume comes out at 15.23 Å³/atom. The calculation puts the polymorph energy (0 for the lowest one) at 383 meV/atom.

```
NiW2
1.0
5.1102 0.0000 0.0000
-2.5551 4.4255 0.0000
0.0000 0.0000 16.1663
Ni W
8 16
Direct
0.0000 0.0000 0.0889
0.3333 0.6667 0.1251
0.3333 0.6667 0.3749
0.0000 0.0000 0.4111
0.0000 0.0000 0.5889
0.6667 0.3333 0.6251
0.6667 0.3333 0.8749
0.0000 0.0000 0.9111
0.5000 0.0000 0.0000
0.0000 0.5000 0.0000
0.5000 0.5000 0.0000
0.6667 0.3333 0.1547
0.1639 0.3278 0.2500
0.1639 0.8361 0.2500
0.6722 0.8361 0.2500
0.6667 0.3333 0.3453
0.5000 0.0000 0.5000
0.0000 0.5000 0.5000
0.5000 0.5000 0.5000
0.3333 0.6667 0.6547
0.3278 0.1639 0.7500
0.8361 0.1639 0.7500
0.8361 0.6722 0.7500
0.3333 0.6667 0.8453
```

***

Entry 2:
## NiW14 (GGA-PBE)

Data for an optimized crystal structure of NiW14.

As for the space group: P4_2/mnm, No. 136. The calculated volume comes out at 16.00 Å³/atom.

```
NiW14
1.0
9.7214 0.0000 0.0000
0.0000 9.7214 0.0000
0.0000 0.0000 5.0806
Ni W
2 28
Direct
0.0000 0.0000 0.0000
0.5000 0.5000 0.5000
0.7449 0.0646 0.0000
0.4627 0.1282 0.0000
0.9354 0.2551 0.0000
0.3960 0.3960 0.0000
0.1282 0.4627 0.0000
0.8718 0.5373 0.0000
0.6040 0.6040 0.0000
0.0646 0.7449 0.0000
0.5373 0.8718 0.0000
0.2551 0.9354 0.0000
0.6815 0.3185 0.2494
0.3185 0.6815 0.2494
0.1815 0.1815 0.2506
0.8185 0.8185 0.2506
0.6282 0.0373 0.5000
0.8960 0.1040 0.5000
0.4354 0.2449 0.5000
0.9627 0.3718 0.5000
0.2449 0.4354 0.5000
0.7551 0.5646 0.5000
0.0373 0.6282 0.5000
0.5646 0.7551 0.5000
0.1040 0.8960 0.5000
0.3718 0.9627 0.5000
0.1815 0.1815 0.7494
0.8185 0.8185 0.7494
0.6815 0.3185 0.7506
0.3185 0.6815 0.7506
```

***

no.,energy of formation (meV per atom),energy (eV per atom)
1,444,-10.0520
2,150,-12.3178